Er2Tm3LuBi2Os | PBE | relaxed

Summary:
total DFT energy (no corrections): -51.33 eV/cell
total moment: 0.0 μB per cell

Cell: 4.2087 8.1917 8.1917 Å, 119.85 90.00 90.00°
Fractional coordinates of all 9 atoms:
Er: 0.0000 0.1171 0.8829
Er: 0.0000 0.8829 0.1171
Tm: 0.5000 0.1179 0.4998
Tm: 0.5000 0.4998 0.1179
Tm: 0.5000 0.7330 0.7330
Lu: 0.0000 0.3503 0.3503
Bi: 0.0000 0.4504 0.7820
Bi: 0.0000 0.7820 0.4504
Os: 0.5000 0.1218 0.1218